[1]
VASP calculation (PBE) on GdMgNO after structural relaxation.

Lattice parameters (Å, degrees): 3.7713 3.7713 7.8164 90.00 90.00 90.00
Space group P4/nmm (No. 129, origin choice 2)
Unique sites:
Gd: 0.2500 0.2500 0.1513
Mg: 0.2500 0.7500 0.5000
N: 0.2500 0.2500 0.6245
O: 0.2500 0.7500 0.0000

## Properties
**Crystal system**: tetragonal
**Energy above the most stable polymorph in this dataset**: 26.3 kJ/mol of atoms
**Total magnetization**: 0.0 μB/cell
**V**: 13.90 A^3/atom
**Total DFT energy (no corrections)**: -53.27 eV/cell

---

[2]
VASP calculation (PBE) on ScZn2Ga after structural relaxation.

Lattice parameters (Å, degrees): 6.4342 6.4342 6.4342 90.00 90.00 90.00
Space group F-43m (No. 216)
Unique sites:
Sc: 0.0000 0.0000 0.0000
Zn: 0.0000 0.0000 0.5000
Zn: 0.2500 0.2500 0.2500
Ga: 0.2500 0.2500 0.7500

## Properties
**Crystal system**: cubic
**Total magnetization**: 0.0 μB/cell
**V**: 16.65 A^3/atom
**Total DFT energy (no corrections)**: -51.84 eV/cell

---

[3]
VASP calculation (PBE) on BaHgTeO after structural relaxation.

Lattice parameters (Å, degrees): 4.5249 15.4088 6.9094 90.00 90.00 90.00
Space group Cmc2_1 (No. 36)
Unique sites:
Ba: 0.0000 0.1333 0.0000
Hg: 0.0000 0.4319 0.9214
Te: 0.0000 0.1735 0.4993
O: 0.0000 0.4381 0.5667

## Properties
**Crystal system**: orthorhombic
**Energy above the most stable polymorph in this dataset**: 8.9 kJ/mol of atoms
**V**: 30.11 A^3/atom
**Total DFT energy (no corrections)**: -60.98 eV/cell

---

[4]
VASP calculation (PBE) on AcCdO3 after structural relaxation.

Lattice parameters (Å, degrees): 6.0445 6.0445 15.4560 90.00 90.00 120.00
Space group R-3 (No. 148, hexagonal axes)
Unique sites:
Ac: 0.0000 0.0000 0.1284
Cd: 0.0000 0.0000 0.3537
O: 0.0290 0.2995 0.2510

## Properties
**Crystal system**: trigonal
**Total magnetization**: 6.0 μB/cell
**V**: 16.30 A^3/atom
**Total DFT energy (no corrections)**: -174.60 eV/cell

---

[5]
VASP calculation (PBE) on TbUFe2 after structural relaxation.

Lattice parameters (Å, degrees): 6.4016 4.8364 9.4990 90.00 90.00 90.00
Space group Pnma (No. 62)
Unique sites:
Tb: 0.1456 0.2500 0.1450
U: 0.0199 0.2500 0.6314
Fe: 0.1161 0.2500 0.8481
Fe: 0.2260 0.2500 0.4580

## Properties
**Crystal system**: orthorhombic
**Total magnetization**: 0.0 μB/cell
**V**: 18.38 A^3/atom
**Total DFT energy (no corrections)**: -132.38 eV/cell

---

[6]
VASP calculation (PBE) on PrGdZnIr2 after structural relaxation.

Lattice parameters (Å, degrees): 4.2175 5.8542 8.5913 90.00 90.00 90.00
Space group Imm2 (No. 44)
Unique sites:
Pr: 0.0000 0.0000 0.0000
Gd: 0.0000 0.0000 0.5974
Zn: 0.0000 0.5000 0.8003
Ir: 0.0000 0.2657 0.2980

## Properties
**Crystal system**: orthorhombic
**Total magnetization**: 0.0 μB/cell
**V**: 21.21 A^3/atom
**Total DFT energy (no corrections)**: -63.62 eV/cell

---

[7]
VASP calculation (PBE) on Dy2ErGa4Pt after structural relaxation.

Lattice parameters (Å, degrees): 6.4555 3.8998 13.4685 90.00 90.00 90.00
Space group Amm2 (No. 38)
Unique sites:
Dy: 0.0000 0.0000 0.0000
Dy: 0.5000 0.0000 0.4608
Er: 0.0000 0.0000 0.2693
Ga: 0.2415 0.0000 0.6351
Ga: 0.3074 0.0000 0.8238
Pt: 0.5000 0.0000 0.1971

## Properties
**Crystal system**: orthorhombic
**Total magnetization**: 0.0 μB/cell
**V**: 21.19 A^3/atom
**Total DFT energy (no corrections)**: -73.62 eV/cell

---

[8]
VASP calculation (PBE) on CsSmYS3 after structural relaxation.

Lattice parameters (Å, degrees): 4.4620 15.9804 11.0535 90.00 90.00 90.00
Space group Cmcm (No. 63)
Unique sites:
Cs: 0.0000 0.2322 0.2500
Sm: 0.0000 0.5000 0.0000
Y: 0.0000 0.0333 0.7500
S: 0.0000 0.1130 0.5468
S: 0.0000 0.4478 0.7500

## Properties
**Crystal system**: orthorhombic
**Total magnetization**: 0.5 μB/cell
**V**: 32.84 A^3/atom
**Total DFT energy (no corrections)**: -137.98 eV/cell

---

[9]
VASP calculation (PBE) on HgGe after structural relaxation.

Lattice parameters (Å, degrees): 4.4054 4.4054 5.7630 90.00 90.00 120.00
Space group P6_3/mmc (No. 194)
Unique sites:
Hg: 0.3333 0.6667 0.2500
Ge: 0.0000 0.0000 0.0000

## Properties
**Crystal system**: hexagonal
**Energy above the most stable polymorph in this dataset**: 0.0 kJ/mol of atoms
**V**: 24.22 A^3/atom
**Total DFT energy (no corrections)**: -8.75 eV/cell

---

[10]
VASP calculation (PBE) on Ac8Ge5Pd after structural relaxation.

Lattice parameters (Å, degrees): 9.6685 9.6685 9.8618 90.00 90.00 90.00
Space group I-4 (No. 82)
Unique sites:
Ac: 0.0634 0.1907 0.3089
Ac: 0.0676 0.3142 0.9350
Ge: 0.0000 0.0000 0.0000
Ge: 0.1211 0.2492 0.6238
Pd: 0.0000 0.5000 0.2500

## Properties
**Crystal system**: tetragonal
**Total magnetization**: 0.0 μB/cell
**V**: 32.92 A^3/atom
**Total DFT energy (no corrections)**: -141.27 eV/cell

---

[11]
VASP calculation (PBE) on BaLaCd2Au4 after structural relaxation.

Lattice parameters (Å, degrees): 5.2310 5.2310 7.3832 90.00 90.00 90.00
Space group P4/mmm (No. 123)
Unique sites:
Ba: 0.0000 0.0000 0.0000
La: 0.5000 0.5000 0.5000
Cd: 0.0000 0.0000 0.5000
Cd: 0.5000 0.5000 0.0000
Au: 0.0000 0.5000 0.2727

## Properties
**Crystal system**: tetragonal
**Total magnetization**: 0.0 μB/cell
**V**: 25.25 A^3/atom
**Total DFT energy (no corrections)**: -26.23 eV/cell

---

[12]
VASP calculation (PBE) on TlFePdAu after structural relaxation.

Lattice parameters (Å, degrees): 6.5098 6.5098 6.5098 90.00 90.00 90.00
Space group F-43m (No. 216)
Unique sites:
Tl: 0.0000 0.0000 0.0000
Fe: 0.2500 0.2500 0.2500
Pd: 0.2500 0.2500 0.7500
Au: 0.0000 0.0000 0.5000

## Properties
**Crystal system**: cubic
**Energy above the most stable polymorph in this dataset**: 0.0 kJ/mol of atoms
**Total magnetization**: 11.6 μB/cell
**V**: 17.24 A^3/atom
**Total DFT energy (no corrections)**: -74.00 eV/cell